No. 1
VASP calculation (PBE) on a geometry-optimized ScGaP2Pt structure.

Summary:
DOS(E_F), states/eV/f.u.: 3.85
Space group: P4/mmm (123)
DFT total energy, eV/atom: -5.052
Volume, Å³ per cell: 107.7

a = 4.835 Å, b = 4.835 Å, c = 4.609 Å
α = 90.00°, β = 90.00°, γ = 90.00°
Sites, in units of the cell vectors:
Sc 0.500 0.500 0.500
P 0.000 0.500 0.000
P 0.500 0.000 0.000
Ga 0.000 0.000 0.500
Pt 0.000 0.000 0.000

=====

No. 2
VASP calculation (PBE) on a geometry-optimized Sr2Ga3PPt4 structure.

Summary:
DOS(E_F), states/eV/f.u.: 3.21
Space group: P-4m2 (115)
DFT total energy, eV/atom: -5.057
Volume, Å³ per cell: 198.5

a = 4.471 Å, b = 4.471 Å, c = 9.927 Å
α = 90.00°, β = 90.00°, γ = 90.00°
Sites, in units of the cell vectors:
Sr 0.500 0.000 0.254
Sr 0.000 0.500 0.746
Ga 0.000 0.000 0.500
Ga 0.500 0.000 0.874
Ga 0.000 0.500 0.126
P 0.500 0.500 0.500
Pt 0.500 0.500 0.000
Pt 0.000 0.000 0.000
Pt 0.500 0.000 0.615
Pt 0.000 0.500 0.385

=====

No. 3
VASP calculation (PBE) on a geometry-optimized Sr2GaP3Pt12 structure.

Summary:
DOS(E_F), states/eV/f.u.: 4.66
Space group: R-3m (166)
DFT total energy, eV/atom: -5.701
Volume, Å³ per cell: 363.1

a = 7.776 Å, b = 7.776 Å, c = 7.776 Å
α = 64.19°, β = 64.19°, γ = 64.19°
Sites, in units of the cell vectors:
Sr 0.610 0.610 0.610
Sr 0.390 0.390 0.390
Ga 0.000 0.000 0.000
P 0.500 0.000 0.000
P 0.000 0.500 0.000
P 0.000 0.000 0.500
Pt 0.339 0.339 0.905
Pt 0.882 0.882 0.366
Pt 0.366 0.882 0.882
Pt 0.905 0.339 0.339
Pt 0.882 0.366 0.882
Pt 0.339 0.905 0.339
Pt 0.661 0.661 0.095
Pt 0.118 0.118 0.634
Pt 0.634 0.118 0.118
Pt 0.095 0.661 0.661
Pt 0.118 0.634 0.118
Pt 0.661 0.095 0.661

=====

No. 4
VASP calculation (PBE) on a geometry-optimized Sr2GaPPt6 structure.

Summary:
DOS(E_F), states/eV/f.u.: 5.76
Space group: P-1 (2)
DFT total energy, eV/atom: -5.571
Volume, Å³ per cell: 209.0

a = 6.516 Å, b = 6.822 Å, c = 6.888 Å
α = 56.16°, β = 61.69°, γ = 89.90°
Sites, in units of the cell vectors:
Sr 0.716 0.284 0.566
Sr 0.284 0.716 0.434
Ga 0.000 0.000 0.000
P 0.500 0.500 0.000
Pt 0.255 0.170 0.489
Pt 0.832 0.746 0.912
Pt 0.255 0.744 0.912
Pt 0.745 0.256 0.088
Pt 0.168 0.254 0.088
Pt 0.745 0.830 0.511

=====

Calculated calculated formation energy (eV per atom), listed in the same order as above: 0.192, -0.856, -0.418, -0.767